(1)
A PBEsol-optimized structure of AlWBr, computed with meta-GGA SCAN.

The structure belongs to space group I4mm (No. 107); the cell edges are 2.9732, 2.9732 and 12.1960 Å and the angles 90.00°, 90.00° and 90.00°. The asymmetric unit holds Al at (0.0000, 0.0000, 0.0000), W at (0.0000, 0.0000, 0.3587) and Br at (0.0000, 0.0000, 0.7170).

The calculation puts the size of the total moment at 0.006 μB per atom. The crystal system is tetragonal.

(2)
A PBEsol-optimized structure of Al2WBr, computed with meta-GGA SCAN.

The structure belongs to space group P4/mmm (No. 123); the cell edges are 3.2199, 3.2199 and 6.9429 Å and the angles 90.00°, 90.00° and 90.00°. The asymmetric unit holds Al at (0.0000, 0.0000, 0.1967), W at (0.5000, 0.5000, 0.0000) and Br at (0.5000, 0.5000, 0.5000).

The calculation puts the size of the total moment at 0.000 μB per atom. The crystal system is tetragonal.

(3)
A PBEsol-optimized structure of YAl2Br, computed with meta-GGA SCAN.

The structure belongs to space group I4/mmm (No. 139); the cell edges are 4.0151, 4.0151 and 10.5414 Å and the angles 90.00°, 90.00° and 90.00°. The asymmetric unit holds Y at (0.0000, 0.0000, 0.0000), Al at (0.0000, 0.5000, 0.2500) and Br at (0.0000, 0.0000, 0.5000).

The calculation puts the size of the total moment at 0.000 μB per atom. The crystal system is tetragonal.

Number 1: distance to the lowest polymorph of the same formula 0.000 eV/f.u., raw formation energy 747 meV per atom. Number 2: distance to the lowest polymorph of the same formula 0.000 eV/f.u., raw formation energy 310 meV per atom. Number 3: distance to the lowest polymorph of the same formula 0.092 eV/f.u., raw formation energy -304 meV per atom.